(1)
VASP calculation (PBE) on a relaxed Tb5YBi4 crystal.

Summary:
Formation energy from the elements   -0.495 eV per atom

a = 4.423 Å, b = 8.520 Å, c = 9.794 Å
α = 106.41°, β = 103.05°, γ = 90.00°
Fractional coordinates of all 10 atoms:
Tb 0.816 0.651 0.633
Tb 0.838 0.193 0.677
Tb 0.162 0.807 0.323
Tb 0.500 0.500 0.000
Tb 0.184 0.349 0.367
Y 0.500 0.000 0.000
Bi 0.331 0.923 0.662
Bi 0.987 0.739 0.975
Bi 0.669 0.077 0.338
Bi 0.013 0.261 0.025

(2)
VASP calculation (PBE) on a relaxed CdSeF6 crystal.

Summary:
E_form (uncorrected)   -1.848 eV per atom
E above lowest polymorph   4 meV per atom

a = 5.335 Å, b = 5.335 Å, c = 9.976 Å
α = 90.00°, β = 90.00°, γ = 120.00°
Fractional coordinates of all 16 atoms:
Cd 0.333 0.667 0.250
Cd 0.667 0.333 0.750
Se 0.000 0.000 0.500
Se 0.000 0.000 0.000
F 0.292 0.305 0.386
F 0.708 0.695 0.614
F 0.014 0.708 0.386
F 0.292 0.986 0.114
F 0.986 0.292 0.614
F 0.708 0.014 0.886
F 0.695 0.986 0.386
F 0.014 0.305 0.114
F 0.305 0.014 0.614
F 0.986 0.695 0.886
F 0.695 0.708 0.114
F 0.305 0.292 0.886

(3)
VASP calculation (PBE) on a relaxed Li2NiAs crystal.

Summary:
Formation energy from the elements   -0.371 eV per atom

a = 4.735 Å, b = 4.735 Å, c = 4.735 Å
α = 135.36°, β = 135.34°, γ = 64.98°
Fractional coordinates of all 4 atoms:
As 0.750 0.250 0.500
Li 0.000 0.000 0.000
Li 0.500 0.500 0.000
Ni 0.250 0.750 0.500

(4)
VASP calculation (PBE) on a relaxed Rb2TcOF crystal.

Summary:
E_form (uncorrected)   -0.726 eV per atom

a = 6.272 Å, b = 3.768 Å, c = 6.272 Å
α = 90.00°, β = 90.00°, γ = 90.00°
Each line ends with the local moment (μB).
Fractional coordinates of all 5 atoms:
O 0.000 0.500 0.000  -0.03
Tc 0.000 0.000 0.000  1.37
Rb 0.000 0.000 0.500  0.01
Rb 0.500 0.000 0.000  0.04
F 0.500 0.500 0.500  0.00

(5)
VASP calculation (PBE) on a relaxed V2Ir3W crystal.

Summary:
Formation energy from the elements   -0.414 eV per atom

a = 2.760 Å, b = 2.760 Å, c = 11.324 Å
α = 90.00°, β = 90.00°, γ = 90.00°
Fractional coordinates of all 6 atoms:
V 0.500 0.500 0.838
V 0.500 0.500 0.162
Ir 0.000 0.000 0.000
Ir 0.000 0.000 0.673
Ir 0.000 0.000 0.327
W 0.500 0.500 0.500

(6)
VASP calculation (PBE) on a relaxed Pr3SmEr12 crystal.

Summary:
Formation energy from the elements   0.026 eV per atom

a = 5.024 Å, b = 5.024 Å, c = 20.108 Å
α = 90.00°, β = 90.00°, γ = 90.00°
Fractional coordinates of all 16 atoms:
Pr 0.000 0.000 0.249
Pr 0.000 0.000 0.500
Pr 0.000 0.000 0.751
Sm 0.000 0.000 0.000
Er 0.500 0.500 0.000
Er 0.500 0.500 0.249
Er 0.500 0.500 0.500
Er 0.500 0.500 0.751
Er 0.500 0.000 0.124
Er 0.500 0.000 0.375
Er 0.500 0.000 0.625
Er 0.500 0.000 0.876
Er 0.000 0.500 0.124
Er 0.000 0.500 0.375
Er 0.000 0.500 0.625
Er 0.000 0.500 0.876